Here is a relaxed structure of KZrAuS3 from OQMD. Energies are from GGA-PBE.

Cell lengths 7.5164, 7.5164, 10.0507 Å; angles 90.00, 90.00, 150.46 degrees
Last column: nearest neighbours and their distance in Å.
Atoms (fractional coordinates):
K (0.2428, 0.7572, 0.7500)  8 S 3.22-3.52, 2 Au 3.47
K (0.7572, 0.2428, 0.2500)  8 S 3.22-3.52, 2 Au 3.47
Zr (0.5000, 0.5000, 0.0000)  6 S 2.64-2.68
Zr (0.5000, 0.5000, 0.5000)  6 S 2.64-2.68
Au (0.0584, 0.9416, 0.2500)  4 S 2.41-2.62
Au (0.9416, 0.0584, 0.7500)  4 S 2.41-2.62
S (0.1228, 0.8772, 0.0294)  1 Au 2.41, 2 Zr 2.64
S (0.1228, 0.8772, 0.4706)  1 Au 2.41, 2 Zr 2.64
S (0.4356, 0.5644, 0.2500)  2 Au 2.62, 2 Zr 2.68
S (0.5644, 0.4356, 0.7500)  2 Au 2.62, 2 Zr 2.68
S (0.8772, 0.1228, 0.5294)  1 Au 2.41, 2 Zr 2.64
S (0.8772, 0.1228, 0.9706)  1 Au 2.41, 2 Zr 2.64

Properties
space-group type	Cmcm
E	-5.304	eV per atom